DFT (SCAN) results for a PBEsol-optimized structure of ScTaRu.

Results
* distance to the lowest polymorph of the same formula: 0.35 eV/f.u.
* symmetry: P3m1 (156)

a = 4.4112 Å, b = 4.4112 Å, c = 2.9847 Å
α = 90.00°, β = 90.00°, γ = 120.00°
Sites, in units of the cell vectors:
Sc: 0.0000 0.0000 0.0000
Ta: 0.3333 0.6667 0.5919
Ru: 0.6667 0.3333 0.3302

DFT (SCAN) results for a PBEsol-optimized structure of HfRe2BiC.

Results
* DFT total energy: -55.692 eV/atom
* symmetry: P4/mmm (123)

a = 5.0039 Å, b = 5.0039 Å, c = 4.1688 Å
α = 90.00°, β = 90.00°, γ = 90.00°
Sites, in units of the cell vectors:
Hf: 0.0000 0.0000 0.0000
Re: 0.0000 0.5000 0.5000
Re: 0.5000 0.0000 0.5000
Bi: 0.5000 0.5000 0.5000
C: 0.5000 0.5000 0.0000

DFT (SCAN) results for a PBEsol-optimized structure of ZnCdRu2.

Results
* DFT total energy: -28.086 eV/atom
* symmetry: I-4m2 (119)

a = 4.5816 Å, b = 4.5816 Å, c = 4.5816 Å
α = 127.78°, β = 127.78°, γ = 76.98°
Sites, in units of the cell vectors:
Zn: 0.0000 0.0000 0.0000
Cd: 0.2500 0.7500 0.5000
Ru: 0.5000 0.5000 0.0000
Ru: 0.7500 0.2500 0.5000